1.
A relaxed structure of Nd2Al3Ga, computed with GGA-PBE. Values from VASP.

Quantum ESPRESSO input file:
```
&SYSTEM
  ibrav = 0, nat = 6, ntyp = 3
/
ATOMIC_SPECIES
Ga 69.72 Ga.upf
Al 26.98 Al.upf
Nd 144.24 Nd.upf
CELL_PARAMETERS angstrom
-2.565 -0.799 -2.922
2.674 -3.286 -1.449
-3.696 -5.046 4.623
ATOMIC_POSITIONS crystal
Ga 0.500 0.500 0.334
Al 0.500 0.000 0.833
Al 0.500 0.000 0.168
Al 0.500 0.500 0.665
Nd 0.000 0.500 0.002
Nd 0.000 0.000 0.498
```

Space-group type: Pmm2 (25)
Total magnetization (μB/atom): 0.0000
Calculated total energy (eV/atom): -4.493
DFT formation energy (eV per formula unit): -3.2

---

2.
A relaxed structure of NdAl3Ga3, computed with GGA-PBE. Values from VASP.

Quantum ESPRESSO input file:
```
&SYSTEM
  ibrav = 0, nat = 14, ntyp = 3
/
ATOMIC_SPECIES
Nd 144.24 Nd.upf
Al 26.98 Al.upf
Ga 69.72 Ga.upf
CELL_PARAMETERS angstrom
6.980 0.000 0.000
0.000 6.980 0.000
0.000 0.000 6.980
ATOMIC_POSITIONS crystal
Nd 0.500 0.500 0.500
Nd 0.000 0.000 0.000
Al 0.250 0.500 0.000
Al 0.750 0.500 0.000
Al 0.000 0.250 0.500
Al 0.500 0.000 0.750
Al 0.000 0.750 0.500
Al 0.500 0.000 0.250
Ga 0.000 0.500 0.250
Ga 0.500 0.250 0.000
Ga 0.750 0.000 0.500
Ga 0.500 0.750 0.000
Ga 0.250 0.000 0.500
Ga 0.000 0.500 0.750
```

Space-group type: Pm-3n (223)
Total magnetization (μB/atom): 0.0000
Distance to the lowest polymorph of the same formula (kJ per mole of atoms): 0.0
Calculated total energy (eV/atom): -3.413
DFT formation energy (eV per formula unit): 1.2